# 1
CaMnCl2 (SCAN, single point on PBEsol structure); energy relative to the lowest polymorph listed for this composition = 1.12 eV/f.u.; symmetry = R-3m (166); density of states at the Fermi level = 2.636 states/eV/cell; total moment = 4.6 μB per formula unit; formation energy (no corrections) = -1.076 eV per atom; volume = 99.9 Å³/cell
1.0
1.8620 1.0751 8.3162
-1.8620 1.0751 8.3162
0.0000 -2.1501 8.3162
Ca Mn Cl
1 1 2
Cartesian
0.0000 0.0000 0.0000
0.0000 0.0000 12.4743
0.0000 0.0000 2.7986
0.0000 0.0000 22.1499

***

# 2
ZnIN2O (SCAN, single point on PBEsol structure); symmetry = P4/mmm (123); density of states at the Fermi level = 3.137 states/eV/cell; total moment = 0.0 μB per formula unit; formation energy (no corrections) = 1.465 eV per atom; volume = 58.2 Å³/cell
1.0
3.9325 0.0000 0.0000
0.0000 3.9325 0.0000
0.0000 0.0000 3.7627
Zn I N O
1 1 2 1
Cartesian
0.0000 0.0000 0.0000
1.9662 1.9662 1.8814
0.0000 1.9662 0.0000
1.9662 0.0000 0.0000
0.0000 0.0000 1.8814

***

# 3
ReSbPb (SCAN, single point on PBEsol structure); energy relative to the lowest polymorph listed for this composition = 0.00 eV/f.u.; symmetry = P3m1 (156); density of states at the Fermi level = 1.298 states/eV/cell; total moment = 0.0 μB per formula unit; formation energy (no corrections) = 0.584 eV per atom; volume = 66.3 Å³/cell
1.0
3.3473 0.0000 0.0000
-1.6736 2.8988 0.0000
0.0000 0.0000 6.8334
Re Sb Pb
1 1 1
Cartesian
0.0000 0.0000 0.0000
0.0000 1.9326 5.0089
1.6736 0.9663 2.1388

***

# 4
BaV2ZnO7 (SCAN, single point on PBEsol structure); energy relative to the lowest polymorph listed for this composition = 0.24 eV/f.u.; symmetry = Pnma (62); density of states at the Fermi level = 0.000 states/eV/cell; total moment = 0.0 μB per formula unit; formation energy (no corrections) = -2.621 eV per atom; volume = 603.0 Å³/cell
1.0
15.1810 0.0000 0.0000
0.0000 5.4150 0.0000
0.0000 0.0000 7.3351
Ba V Zn O
4 8 4 28
Cartesian
3.2454 1.3538 1.1180
4.3452 4.0613 4.7856
10.8359 1.3538 2.5495
11.9357 4.0613 6.2171
0.9092 4.0613 2.1743
2.0696 1.3538 4.9412
5.5209 4.0613 1.2736
6.6814 1.3538 5.8419
8.4997 4.0613 1.4932
9.6601 1.3538 6.0615
13.1114 4.0613 2.3940
14.2719 1.3538 5.1608
0.7343 4.0613 6.5426
6.8562 1.3538 2.8751
8.3249 4.0613 4.4601
14.4467 1.3538 0.7925
0.5016 1.3538 4.0605
0.7844 0.0022 1.1289
0.7844 2.7053 1.1289
2.1416 2.7267 5.9436
2.1416 5.3959 5.9436
2.3963 4.0613 2.9054
3.4027 1.3538 3.9390
4.1878 4.0613 0.2714
5.1942 1.3538 6.5729
5.4489 0.0192 2.2760
5.4489 2.6883 2.2760
6.8061 5.4128 4.7964
6.8061 2.7098 4.7964
7.0889 4.0613 0.3929
8.0922 1.3538 6.9422
8.3749 0.0022 2.5387
8.3749 2.7053 2.5387
9.7321 2.7267 5.0591
9.7321 5.3959 5.0591
9.9868 4.0613 0.7622
10.9932 1.3538 7.0637
11.7784 4.0613 3.3961
12.7847 1.3538 4.4298
13.0394 0.0192 1.3915
13.0394 2.6883 1.3915
14.3966 5.4128 6.2062
14.3966 2.7098 6.2062
14.6794 4.0613 3.2746

***

# 5
BeZn2Tc (SCAN, single point on PBEsol structure); formation enthalpy at 0 K = 56 meV per atom; symmetry = I-4m2 (119); density of states at the Fermi level = 2.559 states/eV/cell; total moment = 0.0 μB per formula unit; volume = 49.4 Å³/cell
1.0
-1.8064 1.8064 3.7869
1.8064 -1.8064 3.7869
1.8064 1.8064 -3.7869
Be Zn Tc
1 2 1
Cartesian
0.0000 0.0000 0.0000
1.8064 0.0000 1.8934
0.0000 0.0000 3.7869
0.0000 1.8064 1.8934

***

# 6
TlCuMo2As (SCAN, single point on PBEsol structure); formation enthalpy at 0 K = 1929 meV per atom; symmetry = P4/mmm (123); density of states at the Fermi level = 2.429 states/eV/cell; total moment = 5.7 μB per formula unit; volume = 120.2 Å³/cell
1.0
5.1184 0.0000 0.0000
0.0000 5.1184 0.0000
0.0000 0.0000 4.5862
Tl Cu Mo As
1 1 2 1
Cartesian
0.0000 0.0000 0.0000
0.0000 0.0000 2.2931
0.0000 2.5592 0.0000
2.5592 0.0000 0.0000
2.5592 2.5592 2.2931